[1]
A relaxed PrOF crystal. Source: the Alexandria database, functional PBE-GGA.

a = 4.0343 Å, b = 4.0343 Å, c = 4.0343 Å
α = 60.00°, β = 60.00°, γ = 60.00°
Closest atoms and distances in Å follow each position.
Fractional positions:
1 Pr 0.0000 0.0000 0.0000  4 O 2.47, 4 F 2.47
2 O 0.2500 0.2500 0.2500  4 Pr 2.47
3 F 0.7500 0.7500 0.7500  4 Pr 2.47

Properties
calculated density: 6.29 Mg/m³
V: 15.48 Å³ per atom
total energy: -7.573 eV/atom
DOS(E_F): 0.0000 states/eV per atom


[2]
A relaxed In3SnH2 crystal. Source: the Alexandria database, functional PBE-GGA.

a = 6.3296 Å, b = 9.0127 Å, c = 7.7164 Å
α = 43.97°, β = 114.21°, γ = 90.00°
Closest atoms and distances in Å follow each position.
Fractional positions:
1 H 0.4823 0.7440 0.7270  1 In 1.94, 1 Sn 1.96
2 In 0.8718 0.2500 0.0000  6 In 3.13-3.22, 2 Sn 3.16-3.17
3 In 0.9005 0.7495 0.5558  1 H 1.94
4 H 0.7553 0.7560 0.2730  1 In 1.94, 1 Sn 1.96
5 In 0.6552 0.2495 0.5558  1 H 1.94
6 In 0.0995 0.2505 0.4442  1 H 1.94
7 H 0.2447 0.2440 0.7270  1 In 1.94, 1 Sn 1.96
8 In 0.3448 0.7505 0.4442  1 H 1.94
9 Sn 0.3706 0.2500 0.0000  2 H 1.96
10 Sn 0.6294 0.7500 0.0000  2 H 1.96
11 H 0.5177 0.2560 0.2730  1 In 1.94, 1 Sn 1.96
12 In 0.1282 0.7500 0.0000  6 In 3.13-3.22, 2 Sn 3.16-3.17

Properties
calculated density: 6.26 Mg/m³
V: 20.55 Å³ per atom
total energy: -2.939 eV/atom
DOS(E_F): 0.2821 states/eV per atom


[3]
A relaxed Zr3Be3Ge2 crystal. Source: the Alexandria database, functional PBE-GGA.

a = 3.7155 Å, b = 5.2859 Å, c = 13.7298 Å
α = 90.00°, β = 90.00°, γ = 110.58°
Closest atoms and distances in Å follow each position.
Fractional positions:
1 Be 0.5707 0.1413 0.4472  1 Be 2.02, 2 Ge 2.22
2 Zr 0.4286 0.8572 0.7500  5 Be 2.68-2.93, 4 Ge 2.77
3 Ge 0.1587 0.3175 0.1147  3 Be 2.22-2.33
4 Zr 0.5714 0.1428 0.2500  5 Be 2.68-2.93, 4 Ge 2.77
5 Ge 0.1587 0.3175 0.3853  3 Be 2.22-2.33
6 Ge 0.8413 0.6825 0.6147  3 Be 2.22-2.33
7 Zr 0.1300 0.2601 0.9042  7 Be 2.78-3.02, 4 Ge 2.81-2.90
8 Ge 0.8413 0.6825 0.8853  3 Be 2.22-2.33
9 Zr 0.1300 0.2601 0.5958  7 Be 2.78-3.02, 4 Ge 2.81-2.90
10 Be 0.4293 0.8587 0.9472  1 Be 2.02, 2 Ge 2.22
11 Be 0.5707 0.1413 0.0528  1 Be 2.02, 2 Ge 2.22
12 Be 0.4293 0.8587 0.5528  1 Be 2.02, 2 Ge 2.22
13 Be 0.3004 0.6008 0.2500  2 Ge 2.33
14 Be 0.6996 0.3992 0.7500  2 Ge 2.33
15 Zr 0.8700 0.7399 0.4042  7 Be 2.78-3.02, 4 Ge 2.81-2.90
16 Zr 0.8700 0.7399 0.0958  7 Be 2.78-3.02, 4 Ge 2.81-2.90

Properties
calculated density: 5.87 Mg/m³
V: 15.78 Å³ per atom
total energy: -6.262 eV/atom
DOS(E_F): 0.4611 states/eV per atom


[4]
A relaxed HoEr5Al6 crystal. Source: the Alexandria database, functional PBE-GGA.

a = 5.0523 Å, b = 7.1198 Å, c = 7.9935 Å
α = 90.00°, β = 71.58°, γ = 90.00°
Closest atoms and distances in Å follow each position.
Fractional positions:
1 Al 0.5001 0.2502 0.0000  6 Er 3.09, 2 Ho 3.09
2 Er 0.0000 0.5000 0.0000  8 Al 3.09
3 Al 0.4999 0.7498 0.0000  6 Er 3.09, 2 Ho 3.09
4 Er 0.3332 0.0000 0.3337  8 Al 3.09
5 Ho 0.0000 0.0000 0.0000  8 Al 3.09-3.10
6 Al 0.1670 0.7494 0.6660  7 Er 3.09, 1 Ho 3.10
7 Er 0.6663 0.5000 0.6673  8 Al 3.09
8 Al 0.1670 0.2506 0.6660  7 Er 3.09, 1 Ho 3.10
9 Er 0.3337 0.5000 0.3327  8 Al 3.09
10 Al 0.8330 0.2506 0.3340  7 Er 3.09, 1 Ho 3.10
11 Al 0.8330 0.7494 0.3340  7 Er 3.09, 1 Ho 3.10
12 Er 0.6668 0.0000 0.6663  8 Al 3.09

Properties
calculated density: 7.08 Mg/m³
V: 22.73 Å³ per atom
total energy: -4.549 eV/atom
DOS(E_F): 0.3778 states/eV per atom


What is the DOS(E_F) in the third record? 0.4611 states/eV per atom


Copy entry 3 word for word.
A relaxed Zr3Be3Ge2 crystal. Source: the Alexandria database, functional PBE-GGA.

a = 3.7155 Å, b = 5.2859 Å, c = 13.7298 Å
α = 90.00°, β = 90.00°, γ = 110.58°
Closest atoms and distances in Å follow each position.
Fractional positions:
1 Be 0.5707 0.1413 0.4472  1 Be 2.02, 2 Ge 2.22
2 Zr 0.4286 0.8572 0.7500  5 Be 2.68-2.93, 4 Ge 2.77
3 Ge 0.1587 0.3175 0.1147  3 Be 2.22-2.33
4 Zr 0.5714 0.1428 0.2500  5 Be 2.68-2.93, 4 Ge 2.77
5 Ge 0.1587 0.3175 0.3853  3 Be 2.22-2.33
6 Ge 0.8413 0.6825 0.6147  3 Be 2.22-2.33
7 Zr 0.1300 0.2601 0.9042  7 Be 2.78-3.02, 4 Ge 2.81-2.90
8 Ge 0.8413 0.6825 0.8853  3 Be 2.22-2.33
9 Zr 0.1300 0.2601 0.5958  7 Be 2.78-3.02, 4 Ge 2.81-2.90
10 Be 0.4293 0.8587 0.9472  1 Be 2.02, 2 Ge 2.22
11 Be 0.5707 0.1413 0.0528  1 Be 2.02, 2 Ge 2.22
12 Be 0.4293 0.8587 0.5528  1 Be 2.02, 2 Ge 2.22
13 Be 0.3004 0.6008 0.2500  2 Ge 2.33
14 Be 0.6996 0.3992 0.7500  2 Ge 2.33
15 Zr 0.8700 0.7399 0.4042  7 Be 2.78-3.02, 4 Ge 2.81-2.90
16 Zr 0.8700 0.7399 0.0958  7 Be 2.78-3.02, 4 Ge 2.81-2.90

Properties
calculated density: 5.87 Mg/m³
V: 15.78 Å³ per atom
total energy: -6.262 eV/atom
DOS(E_F): 0.4611 states/eV per atom


Among the records above, which one has the highest calculated density? HoEr5Al6


Which of these has the lowest V? PrOF